[1]
# PuVCrRu

Crystalline PuVCrRu at its relaxed geometry (GGA-PBE, Alexandria).

The structure belongs to space group F-43m (No. 216); the cell edges are 6.3163, 6.3163 and 6.3163 Å and the angles 90.00°, 90.00° and 90.00°. Symmetry generates all atoms from Pu at (0.0000, 0.0000, 0.0000), V at (0.0000, 0.0000, 0.5000), Cr at (0.2500, 0.2500, 0.2500) and Ru at (0.2500, 0.2500, 0.7500).

The formation energy is 121 meV per atom. Its crystal system is cubic.

[2]
# PuCr2S4

Crystalline PuCr2S4 at its relaxed geometry (GGA-PBE, Alexandria).

The structure belongs to space group Fddd (No. 70, origin choice 2); the cell edges are 7.8094, 11.5320 and 11.5717 Å and the angles 90.00°, 90.00° and 90.00°. Symmetry generates all atoms from Pu at (0.1250, 0.1250, 0.1250), Cr at (0.0000, 0.0000, 0.5000) and S at (0.0432, 0.2858, 0.9634).

The formation energy from raw total energies comes out at -0.892 eV per atom. Its crystal system is orthorhombic.

[3]
# PuCrS3

Crystalline PuCrS3 at its relaxed geometry (GGA-PBE, Alexandria).

The structure belongs to space group Cmmm (No. 65); the cell edges are 8.6063, 12.1057 and 3.6502 Å and the angles 90.00°, 90.00° and 90.00°. Symmetry generates all atoms from Pu at (0.0000, 0.0000, 0.0000), Pu at (0.0000, 0.5000, 0.5000), Cr at (0.2500, 0.2500, 0.0000), S at (0.0000, 0.3303, 0.0000) and S at (0.1964, 0.1234, 0.5000).

The value obtained for the polymorph energy (0 for the lowest one) is 43 meV per atom. The formation energy from raw total energies comes out at -1.064 eV per atom. Its crystal system is orthorhombic.

[4]
# PuCr4S8

Crystalline PuCr4S8 at its relaxed geometry (GGA-PBE, Alexandria).

The structure belongs to space group R-3m (No. 166, hexagonal axes); the cell edges are 6.9959, 6.9959 and 18.4442 Å and the angles 90.00°, 90.00° and 120.00°. Symmetry generates all atoms from Pu at (0.0000, 0.0000, 0.0000), Cr at (0.0000, 0.0000, 0.5000), Cr at (0.0000, 0.5000, 0.5000), S at (0.0000, 0.0000, 0.2363) and S at (0.0032, 0.5016, 0.2376).

The formation energy from raw total energies comes out at -0.856 eV per atom. Its crystal system is trigonal.

Number 1: E_tot -10.467 eV/atom. Number 2: E_tot -8.048 eV/atom. Number 3: E_tot -8.332 eV/atom. Number 4: E_tot -7.460 eV/atom.